#1
AcCd2Au2, optimized geometry, DFT PBE; space group = No. 139; ρ = 11.18 Mg/m³; spin magnetization = 0.00 μB per formula unit; DOS(E_F) = 0.682 states/eV per atom
1.0
-2.563 -2.734 2.232
3.523 -2.151 1.411
-0.153 6.426 3.433
Ac Cd Au
1 2 2
direct
0.000 0.000 0.000
0.750 0.250 0.500
0.250 0.750 0.500
0.605 0.605 0.211
0.395 0.395 0.789

#2
AcCd2Au2, optimized geometry, DFT PBE; space group = No. 123; ρ = 11.13 Mg/m³; spin magnetization = 0.00 μB per formula unit; DOS(E_F) = 0.568 states/eV per atom
1.0
-4.329 0.373 -0.297
0.155 -1.466 -4.098
-0.689 -6.237 2.205
Au Cd Ac
2 2 1
direct
0.500 0.500 0.791
0.500 0.500 0.209
0.500 0.000 0.500
0.000 0.500 0.500
0.000 0.000 0.000

Energies in kJ/mol of atoms, measured from the most stable structure: #1 0.0; #2 1.8.

#1
Ac4Cd2Au, optimized geometry, DFT PBE; space group = No. 166; ρ = 8.68 Mg/m³; spin magnetization = 0.00 μB per formula unit; DOS(E_F) = 1.070 states/eV per atom
1.0
0.862 4.821 2.809
-1.801 0.525 5.325
7.763 -1.438 5.760
Ac Au Cd
4 1 2
direct
0.123 0.123 0.632
0.627 0.627 0.118
0.877 0.877 0.368
0.373 0.373 0.882
0.000 0.000 0.000
0.754 0.754 0.739
0.246 0.246 0.261

#2
Ac4Cd2Au, optimized geometry, DFT PBE; space group = No. 139; ρ = 7.58 Mg/m³; spin magnetization = 0.02 μB per formula unit; DOS(E_F) = 1.614 states/eV per atom
1.0
-1.577 -0.075 -5.753
5.515 -1.718 -1.490
-4.215 -6.938 4.339
Cd Ac Au
2 4 1
direct
0.608 0.608 0.216
0.392 0.392 0.784
0.193 0.193 0.385
0.000 0.500 0.000
0.807 0.807 0.615
0.500 0.000 0.000
0.000 0.000 0.000

Energies in kJ/mol of atoms, measured from the most stable structure: #1 0.0; #2 15.3.

#1
AcCdAu2, optimized geometry, DFT PBE; space group = No. 160; ρ = 10.54 Mg/m³; spin magnetization = 0.00 μB per formula unit; DOS(E_F) = 0.735 states/eV per atom
1.0
4.462 0.000 0.000
2.231 3.864 0.000
2.231 1.288 6.698
Au Ac Cd
2 1 1
direct
0.095 0.095 0.714
0.241 0.241 0.278
0.670 0.670 0.989
0.494 0.494 0.519

#2
AcCdAu2, optimized geometry, DFT PBE; space group = No. 123; ρ = 11.76 Mg/m³; spin magnetization = 0.00 μB per formula unit; DOS(E_F) = 0.527 states/eV per atom
1.0
-2.950 0.642 2.759
-1.040 -4.924 0.034
3.328 -0.676 3.715
Cd Au Ac
1 2 1
direct
0.500 0.000 0.000
0.000 0.000 0.500
0.000 0.500 0.000
0.500 0.500 0.500

#3
AcCdAu2, optimized geometry, DFT PBE; space group = No. 166; ρ = 11.87 Mg/m³; spin magnetization = 0.00 μB per formula unit; DOS(E_F) = 0.466 states/eV per atom
1.0
4.925 0.000 0.000
2.462 4.265 0.000
2.462 1.422 4.887
Ac Au Cd
1 2 1
direct
0.500 0.500 0.500
0.277 0.277 0.168
0.723 0.723 0.832
0.000 0.000 0.000

Energies in kJ/mol of atoms, measured from the most stable structure: #1 13.9; #2 16.4; #3 0.0.

#1
Ac2Cd5Au3, optimized geometry, DFT PBE; space group = No. 36; ρ = 10.53 Mg/m³; spin magnetization = 0.00 μB per formula unit; DOS(E_F) = 0.625 states/eV per atom
1.0
4.704 0.000 -0.801
0.000 7.740 0.000
-0.047 0.000 13.931
Ac Cd Au
4 10 6
direct
0.521 0.279 0.042
0.479 0.779 0.958
0.823 0.204 0.646
0.177 0.704 0.354
0.296 0.886 0.591
0.396 0.422 0.793
0.055 0.603 0.109
0.707 0.005 0.414
0.293 0.505 0.586
0.604 0.922 0.207
0.704 0.386 0.409
0.873 0.748 0.745
0.127 0.248 0.255
0.945 0.103 0.891
0.234 0.192 0.468
0.390 0.035 0.779
0.766 0.692 0.532
0.047 0.990 0.094
0.953 0.490 0.906
0.610 0.535 0.221

#2
Ac2Cd5Au3, optimized geometry, DFT PBE; space group = No. 72; ρ = 10.39 Mg/m³; spin magnetization = 0.00 μB per formula unit; DOS(E_F) = 0.459 states/eV per atom
1.0
-4.469 -4.346 -1.445
4.097 -7.583 -4.031
-1.272 -5.860 7.387
Cd Au Ac
10 6 4
direct
0.013 0.737 0.737
0.374 0.256 0.996
0.987 0.263 0.263
0.487 0.263 0.263
0.513 0.737 0.737
0.626 0.744 0.004
0.874 0.996 0.256
0.126 0.004 0.744
0.250 0.500 0.500
0.750 0.500 0.500
0.750 0.000 0.000
0.880 0.773 0.467
0.120 0.227 0.533
0.620 0.533 0.227
0.250 0.000 0.000
0.380 0.467 0.773
0.625 0.121 0.629
0.875 0.371 0.879
0.375 0.879 0.371
0.125 0.629 0.121

Energies in kJ/mol of atoms, measured from the most stable structure: #1 0.0; #2 2.0.

#1
Ac3Cd2Au, optimized geometry, DFT PBE; space group = No. 164; ρ = 9.42 Mg/m³; spin magnetization = 0.00 μB per formula unit; DOS(E_F) = 0.883 states/eV per atom
1.0
5.668 0.000 0.000
-2.834 4.908 0.000
0.000 0.000 6.986
Ac Cd Au
3 2 1
direct
0.667 0.333 0.853
0.333 0.667 0.147
0.000 0.000 0.500
0.333 0.667 0.646
0.667 0.333 0.354
0.000 0.000 0.000

#2
Ac3Cd2Au, optimized geometry, DFT PBE; space group = No. 123; ρ = 9.40 Mg/m³; spin magnetization = 0.00 μB per formula unit; DOS(E_F) = 0.889 states/eV per atom
1.0
4.012 0.000 0.000
0.000 4.012 0.000
0.000 0.000 12.107
Ac Cd Au
3 2 1
direct
0.000 0.000 0.654
0.000 0.000 0.000
0.000 0.000 0.346
0.500 0.500 0.168
0.500 0.500 0.832
0.500 0.500 0.500

Energies in kJ/mol of atoms, measured from the most stable structure: #1 1.4; #2 0.0.

#1
AcNdCdAu, optimized geometry, DFT PBE; space group = No. 216; ρ = 9.58 Mg/m³; spin magnetization = 0.03 μB per formula unit; DOS(E_F) = 0.801 states/eV per atom
1.0
5.506 0.000 0.000
2.753 4.768 0.000
2.753 1.589 4.495
Nd Au Ac Cd
1 1 1 1
direct
0.500 0.500 0.500
0.250 0.250 0.250
0.000 0.000 0.000
0.750 0.750 0.750

#2
AcNdCdAu, optimized geometry, DFT PBE; space group = No. 99; ρ = 9.62 Mg/m³; spin magnetization = 0.00 μB per formula unit; DOS(E_F) = 0.860 states/eV per atom
1.0
3.877 0.000 0.000
0.000 3.877 0.000
0.000 0.000 7.816
Cd Nd Au Ac
1 1 1 1
direct
0.000 0.000 0.837
0.500 0.500 0.591
0.000 0.000 0.380
0.500 0.500 0.120

Energies in kJ/mol of atoms, measured from the most stable structure: #1 4.5; #2 0.0.